This record from the Alexandria database describes a relaxed structure of TbEu2Mg. The functional is PBE.

Summary:
Space-group type: P4/mmm (123)
DFT formation energy, eV/atom: 0.0416
Size of the total moment, μB/cell: 15.116
Volume, Å³/f.u.: 137

Cell: 3.7391 3.7391 9.8226 Å, 90.00 90.00 90.00°
Each line ends with the local moment (μB).
Fractional positions:
Eu 0.0000 0.0000 0.7680  6.91
Eu 0.0000 0.0000 0.2320  6.91
Mg 0.5000 0.5000 0.0000  0.00
Tb 0.5000 0.5000 0.5000  0.33